This record from Alexandria describes crystalline ErNp3N4 at its relaxed geometry. The functional is PBE.

Output
Its formation energy (no corrections) is -1.267 eV/atom. As for the total magnetic moment: 10.03 μB per cell. Its density of states at the Fermi level is 1.657 states/eV/atom. For the calculated total energy, the calculation gives -10.85 eV per atom.

Unit cell a=4.873 b=4.873 c=5.965 alpha=114.11 beta=114.11 gamma=90.00
Atoms (fractional coordinates):
Np 0.750 0.250 0.500
Np 0.500 0.500 0.000
Np 0.250 0.750 0.500
N 0.748 0.748 0.497
N 0.500 0.000 0.000
N 0.252 0.252 0.503
N 0.000 0.500 0.000
Er 0.000 0.000 0.000